A PBEsol-optimized structure of Co2Tc2Ir. Source: the Alexandria database, functional SCAN.

Cell lengths 3.7168, 3.7168, 9.6402 Å; angles 90.00, 90.00, 90.00 degrees
Space group I4/mmm (No. 139)
One atom of each set of equivalent atoms:
Co  0.0000  0.0000  0.1040
Tc  0.0000  0.5000  0.2500
Ir  0.0000  0.0000  0.5000

Output
**Formation energy**: 2.92 eV per formula unit

=====

A PBEsol-optimized structure of MgTiH2. Source: the Alexandria database, functional SCAN.

Cell lengths 4.4114, 4.4114, 8.8470 Å; angles 90.00, 90.00, 90.00 degrees
Space group I-42d (No. 122)
One atom of each set of equivalent atoms:
Mg  0.0000  0.0000  0.0000
Ti  0.0000  0.0000  0.5000
H  0.2092  0.2500  0.6250

Output
**Uncorrected energy**: -114.520 eV for the cell shown

=====

A PBEsol-optimized structure of Ti2BiS. Source: the Alexandria database, functional SCAN.

Cell lengths 5.3801, 5.3801, 13.2758 Å; angles 90.00, 90.00, 90.00 degrees
Space group I-42d (No. 122)
One atom of each set of equivalent atoms:
Ti  0.1626  0.2500  0.1250
Bi  0.0000  0.0000  0.5000
S  0.0000  0.0000  0.0000

Output
**Energy relative to the lowest polymorph listed for this composition**: 53 meV/atom
**Raw formation energy**: -0.305 eV/atom

=====

A PBEsol-optimized structure of Ba2Os. Source: the Alexandria database, functional SCAN.

Cell lengths 5.5099, 5.5099, 3.0594 Å; angles 90.00, 90.00, 120.00 degrees
Space group P6/mmm (No. 191)
One atom of each set of equivalent atoms:
Ba  0.3333  0.6667  0.0000
Os  0.0000  0.0000  0.5000

Output
**Formation energy**: 3.30 eV per formula unit

=====

A PBEsol-optimized structure of NbB3Rh. Source: the Alexandria database, functional SCAN.

Cell lengths 3.9194, 3.9194, 3.9194 Å; angles 90.00, 90.00, 90.00 degrees
Space group Pm-3m (No. 221)
One atom of each set of equivalent atoms:
Nb  0.0000  0.0000  0.0000
B  0.0000  0.5000  0.5000
Rh  0.5000  0.5000  0.5000

Output
**Formation energy**: 5.05 eV per formula unit

=====

A PBEsol-optimized structure of Ta2CoW. Source: the Alexandria database, functional SCAN.

Cell lengths 2.7307, 4.3385, 5.2459 Å; angles 90.00, 99.30, 90.00 degrees
Space group P2/m (No. 10)
One atom of each set of equivalent atoms:
Ta  0.2482  0.0000  0.2526
Co  0.0000  0.5000  0.5000
W  0.5000  0.5000  0.0000

Output
**Energy relative to the lowest polymorph listed for this composition**: 41 meV/atom
**Formation energy**: 0.28 eV per formula unit

=====

A PBEsol-optimized structure of MgTlCo2Hg. Source: the Alexandria database, functional SCAN.

Cell lengths 4.7951, 4.7951, 5.1168 Å; angles 90.00, 90.00, 90.00 degrees
Space group P4/mmm (No. 123)
One atom of each set of equivalent atoms:
Mg  0.0000  0.0000  0.0000
Tl  0.0000  0.0000  0.5000
Co  0.0000  0.5000  0.5000
Hg  0.5000  0.5000  0.0000

Output
**Formation energy**: 4.86 eV per formula unit

=====

A PBEsol-optimized structure of CaMoIr3. Source: the Alexandria database, functional SCAN.

Cell lengths 4.5737, 4.5737, 4.5737 Å; angles 90.00, 90.00, 90.00 degrees
Space group Pm-3m (No. 221)
One atom of each set of equivalent atoms:
Ca  0.0000  0.0000  0.0000
Mo  0.5000  0.5000  0.5000
Ir  0.0000  0.0000  0.5000

Output
**Formation energy**: 13.46 eV per formula unit